1.
Here is crystalline Np2Co3As4Pt at its relaxed geometry from Alexandria via LeMat-Bulk. Energies are from PBE.

a b c (Å): 4.166 4.166 9.537
angles (deg): 90.00 90.00 90.00
Each line ends with the local moment (μB).
Fractional coordinates of all 10 atoms:
Np: 0.500 0.000 0.242  3.66
Np: 0.000 0.500 0.758  3.66
Co: 0.000 0.500 0.111  -0.09
Co: 0.500 0.000 0.889  -0.09
Co: 0.000 0.000 0.500  -1.25
As: 0.000 0.500 0.350  -0.04
As: 0.500 0.500 0.000  -0.03
As: 0.500 0.000 0.650  -0.04
As: 0.000 0.000 0.000  -0.03
Pt: 0.500 0.500 0.500  -0.15

Values from the calculation:
The energy of formation from the pure elements comes out at -0.460 eV/atom. The space group is P-4m2, No. 115. The calculation puts the density of states at the Fermi level at 26.628 states/eV per cell.

2.
Here is crystalline Np2Co3As4Rh at its relaxed geometry from Alexandria via LeMat-Bulk. Energies are from PBE.

a b c (Å): 4.143 4.143 9.456
angles (deg): 90.00 90.00 90.00
Each line ends with the local moment (μB).
Fractional coordinates of all 10 atoms:
Co: 0.000 0.500 0.113  -0.14
Co: 0.000 0.000 0.500  0.66
Co: 0.500 0.000 0.887  -0.14
As: 0.000 0.500 0.356  -0.02
As: 0.500 0.500 0.000  -0.03
As: 0.500 0.000 0.644  -0.02
As: 0.000 0.000 0.000  -0.03
Rh: 0.500 0.500 0.500  0.07
Np: 0.000 0.500 0.756  3.58
Np: 0.500 0.000 0.244  3.58

Values from the calculation:
The energy of formation from the pure elements comes out at -0.484 eV/atom. The space group is P-4m2, No. 115. The calculation puts the density of states at the Fermi level at 23.590 states/eV per cell.

3.
Here is crystalline NpCoAs2Rh at its relaxed geometry from Alexandria via LeMat-Bulk. Energies are from PBE.

a b c (Å): 3.922 3.922 6.177
angles (deg): 108.51 108.51 90.00
Each line ends with the local moment (μB).
Fractional coordinates of all 5 atoms:
As: 0.378 0.378 0.755  -0.02
As: 0.622 0.622 0.245  -0.02
Co: 0.750 0.250 0.500  0.25
Np: 0.000 0.000 0.000  3.81
Rh: 0.250 0.750 0.500  0.02

Values from the calculation:
The energy of formation from the pure elements comes out at -0.444 eV/atom. The space group is I-4m2, No. 119. The calculation puts the density of states at the Fermi level at 9.723 states/eV per cell.

4.
Here is crystalline Np2CoAs4Rh3 at its relaxed geometry from Alexandria via LeMat-Bulk. Energies are from PBE.

a b c (Å): 4.230 4.230 9.895
angles (deg): 90.00 90.00 90.00
Each line ends with the local moment (μB).
Fractional coordinates of all 10 atoms:
Np: 0.000 0.500 0.747  3.73
Np: 0.500 0.000 0.253  3.73
Rh: 0.000 0.500 0.126  -0.10
Rh: 0.000 0.000 0.500  0.15
Rh: 0.500 0.000 0.874  -0.10
As: 0.500 0.500 0.000  -0.01
As: 0.000 0.000 0.000  -0.02
As: 0.000 0.500 0.370  -0.02
As: 0.500 0.000 0.630  -0.02
Co: 0.500 0.500 0.500  0.87

Values from the calculation:
The energy of formation from the pure elements comes out at -0.490 eV/atom. The space group is P-4m2, No. 115. The calculation puts the density of states at the Fermi level at 22.253 states/eV per cell.

5.
Here is crystalline NpCoAsS at its relaxed geometry from Alexandria via LeMat-Bulk. Energies are from PBE.

a b c (Å): 4.153 4.153 8.262
angles (deg): 90.00 90.00 90.00
Each line ends with the local moment (μB).
Fractional coordinates of all 8 atoms:
Np: 0.000 0.500 0.293  3.48
Np: 0.500 0.000 0.707  3.48
As: 0.000 0.500 0.857  -0.02
As: 0.500 0.000 0.143  -0.02
S: 0.000 0.000 0.500  -0.15
S: 0.500 0.500 0.500  -0.15
Co: 0.000 0.000 0.000  0.78
Co: 0.500 0.500 0.000  0.78

Values from the calculation:
The space group is P4/nmm, No. 129. As for the formation energy (no corrections): -0.6877 eV per atom. The calculation puts the density of states at the Fermi level at 21.173 states/eV per cell.

6.
Here is crystalline NpCoAsSe at its relaxed geometry from Alexandria via LeMat-Bulk. Energies are from PBE.

a b c (Å): 4.057 4.057 8.912
angles (deg): 90.00 90.00 90.00
Each line ends with the local moment (μB).
Fractional coordinates of all 8 atoms:
As: 0.500 0.000 0.143  -0.02
As: 0.000 0.500 0.857  -0.02
Np: 0.500 0.000 0.742  3.57
Np: 0.000 0.500 0.258  3.57
Se: 0.500 0.500 0.500  -0.07
Se: 0.000 0.000 0.500  -0.07
Co: 0.000 0.000 0.000  0.63
Co: 0.500 0.500 0.000  0.63

Values from the calculation:
The space group is P4/nmm, No. 129. As for the formation energy (no corrections): -0.5684 eV per atom. The calculation puts the density of states at the Fermi level at 20.838 states/eV per cell.